Here is NaTeClO2 after structural relaxation from Alexandria via LeMat-Bulk. Energies are from PBE.

- Formation energy (no corrections): -1.2670 eV/atom
- Fermi-level density of states: 0.0 states/eV/f.u.
- Total DFT energy (no corrections): -4.512 eV/atom
- Spin magnetization: 0.000 Bohr magnetons per cell

Cell lengths 6.5736, 4.1083, 7.4691 Å; angles 90.00, 100.10, 90.00 degrees
Closest atoms and distances in Å follow each position.
Space group P2_1/m (No. 11)
Unique sites:
Na  0.1992  0.2500  0.4199 x2  3 O 2.44-2.50
Te  0.1630  0.2500  0.9029 x2  1 O 1.84
Cl  0.4822  0.7500  0.2715 x2  3 Na 2.83-3.10, 1 Te 2.86
O  0.0089  0.2500  0.6722 x2  1 Te 1.84
O  0.0657  0.7500  0.9325 x2  3 Te 2.10-2.17



Here is Na4Te2ClO5 after structural relaxation from Alexandria via LeMat-Bulk. Energies are from PBE.

- Formation energy (no corrections): -1.2097 eV/atom
- Fermi-level density of states: 0.1 states/eV/f.u.
- Total DFT energy (no corrections): -4.393 eV/atom
- Spin magnetization: 2.025 Bohr magnetons per cell

Cell lengths 7.1868, 11.7256, 6.0966 Å; angles 90.00, 90.00, 90.00 degrees
Closest atoms and distances in Å follow each position.
Space group Amm2 (No. 38)
Unique sites:
Na  0.0000  0.1551  0.0000 x4  2 O 2.27
Na  0.2889  0.0000  0.5859 x4  3 O 2.31-2.37
Te  0.5000  0.1383  0.0424 x4  2 O 1.92
Cl  0.0000  0.0000  0.3254 x2  4 Na 2.61-2.69
O  0.2890  0.1406  0.8505 x8  1 Te 1.92
O  0.5000  0.0000  0.2879 x2  2 Te 2.21, 2 Na 2.37



Here is NaTlClO after structural relaxation from Alexandria via LeMat-Bulk. Energies are from PBE.

- Formation energy (no corrections): -1.0502 eV/atom
- Fermi-level density of states: 1.9 states/eV/f.u.
- Total DFT energy (no corrections): -3.673 eV/atom
- Spin magnetization: 0.001 Bohr magnetons per cell

Cell lengths 3.7072, 3.7072, 43.5214 Å; angles 90.00, 90.00, 120.00 degrees
Closest atoms and distances in Å follow each position.
Space group R-3m (No. 166, hexagonal axes)
Unique sites:
Na  0.0000  0.0000  0.2409 x6  1 O 2.16
Tl  0.0000  0.0000  0.0000 x3  6 Cl 3.17
Tl  0.0000  0.0000  0.5000 x3  6 O 2.40
Cl  0.0000  0.0000  0.3870 x6  3 Na 2.72
O  0.0000  0.0000  0.1914 x6  1 Na 2.16, 3 Tl 2.40



Here is Na2TlClO after structural relaxation from Alexandria via LeMat-Bulk. Energies are from PBE.

- Formation energy (no corrections): -1.1181 eV/atom
- Total DFT energy (no corrections): -3.480 eV/atom
- Spin magnetization: 0.000 Bohr magnetons per cell

Cell lengths 4.6526, 4.6526, 5.2489 Å; angles 90.00, 90.00, 90.00 degrees
Closest atoms and distances in Å follow each position.
Space group P4/mmm (No. 123)
Unique sites:
Na  0.0000  0.5000  0.0000 x2  2 O 2.33
Tl  0.0000  0.0000  0.5000 x1  2 O 2.62
Cl  0.5000  0.5000  0.5000 x1  4 Tl 3.29, 8 Na 3.51
O  0.0000  0.0000  0.0000 x1  4 Na 2.33



Here is Na2U2Cl2O5 after structural relaxation from Alexandria via LeMat-Bulk. Energies are from PBE.

- Formation energy (no corrections): -2.6409 eV/atom
- Fermi-level density of states: 1.5 states/eV/f.u.
- Total DFT energy (no corrections): -7.523 eV/atom
- Spin magnetization: 4.010 Bohr magnetons per cell

Cell lengths 4.2076, 4.2076, 24.2682 Å; angles 90.00, 90.00, 90.00 degrees
Closest atoms and distances in Å follow each position.
Space group I4/mmm (No. 139)
Unique sites:
Na  0.0000  0.0000  0.1747 x4  4 O 2.79, 5 Cl 2.99-3.05
U  0.0000  0.0000  0.4136 x4  5 O 2.10-2.13
Cl  0.0000  0.0000  0.2980 x4  1 U 2.81, 5 Na 2.99-3.05
O  0.0000  0.0000  0.5000 x2  2 U 2.10
O  0.0000  0.5000  0.0989 x8  2 U 2.13



Here is Na2UCl4O2 after structural relaxation from Alexandria via LeMat-Bulk. Energies are from PBE.

- Formation energy (no corrections): -2.1323 eV/atom
- Fermi-level density of states: 0.0 states/eV/f.u.
- Total DFT energy (no corrections): -5.602 eV/atom
- Spin magnetization: 0.000 Bohr magnetons per cell

Cell lengths 11.9177, 7.6668, 6.4183 Å; angles 90.00, 106.70, 90.00 degrees
Closest atoms and distances in Å follow each position.
Space group C2/m (No. 12)
Unique sites:
Na  0.2257  0.0000  0.1299 x4  1 O 2.32
U  0.0000  0.0000  0.5000 x2  2 O 1.82
Cl  0.1045  0.2381  0.7958 x8  1 U 2.67, 2 Na 2.79-2.87
O  0.1238  0.0000  0.3883 x4  1 U 1.82